! CsHfGe (PBE, optimized geometry); values from VASP
&SYSTEM
  ibrav = 0, nat = 3, ntyp = 3
/
ATOMIC_SPECIES
Cs 132.91 Cs.upf
Ge 72.64 Ge.upf
Hf 178.49 Hf.upf
CELL_PARAMETERS angstrom
0.0000 3.5392 3.5392
3.5392 0.0000 3.5392
3.5392 3.5392 0.0000
ATOMIC_POSITIONS angstrom
Cs 1.7696 1.7696 1.7696
Ge 5.3088 5.3088 5.3088
Hf 0.0000 0.0000 0.0000
! Space group: F-43m (216)
! Offset from the most stable computed form (eV/f.u.): 0.00
! Magnetization (μB/atom): 0.122